DFT (PBE) results for crystalline Y2BiO at its relaxed geometry.

Geometry as extended XYZ:
```
12
Lattice="3.654 0.000 0.000 -1.827 3.164 0.000 0.000 0.000 22.541" Properties=species:S:1:pos:R:3 pbc="T T T"
Y 0.000 0.000 5.013
Y 0.000 0.000 17.528
Y 0.000 2.109 10.015
Y 0.000 2.109 20.040
Y 1.827 1.055 2.501
Y 1.827 1.055 12.527
Bi 0.000 0.000 0.000
Bi 0.000 2.109 15.028
Bi 1.827 1.055 7.514
O 0.000 0.000 11.271
O 0.000 2.109 3.757
O 1.827 1.055 18.784
```

Properties
excess energy over the best structure of this formula in the dataset: 0.85 eV/f.u.
space-group type: No. 166
spin magnetization: 0.00 μB/cell


DFT (PBE) results for crystalline Li2CuAu6 at its relaxed geometry.

Geometry as extended XYZ:
```
9
Lattice="-1.435 3.782 7.070 1.435 -3.782 7.070 1.435 3.782 -7.070" Properties=species:S:1:pos:R:3 pbc="T T T"
Li 0.000 0.000 2.338
Li 0.000 0.000 11.801
Cu 0.000 0.000 7.070
Au 1.435 2.341 -2.366
Au 0.000 1.453 0.000
Au 1.435 2.341 2.366
Au 0.000 1.441 4.704
Au 0.000 6.111 0.000
Au 0.000 1.441 9.435
```

Properties
excess energy over the best structure of this formula in the dataset: 0.58 eV/f.u.
space-group type: No. 71
spin magnetization: 0.00 μB/cell


DFT (PBE) results for crystalline Ho2MgS4 at its relaxed geometry.

Geometry as extended XYZ:
```
14
Lattice="0.000 5.568 5.568 5.568 0.000 5.568 5.568 5.568 0.000" Properties=species:S:1:pos:R:3 pbc="T T T"
Ho 0.000 0.000 0.000
Ho 2.784 2.784 0.000
Ho 2.784 0.000 2.784
Ho 0.000 2.784 2.784
Mg 4.176 4.176 4.176
Mg 6.960 6.960 6.960
S 8.407 5.513 5.513
S 2.729 2.729 2.729
S 5.623 5.623 2.729
S 5.623 2.729 5.623
S 5.513 8.407 5.513
S 5.513 5.513 8.407
S 8.407 8.407 8.407
S 2.729 5.623 5.623
```

Properties
excess energy over the best structure of this formula in the dataset: 0.00 eV/f.u.
space-group type: No. 227
spin magnetization: 0.00 μB/cell


DFT (PBE) results for crystalline Sr2CdAgAu6 at its relaxed geometry.

Geometry as extended XYZ:
```
10
Lattice="0.000 5.211 5.211 5.211 0.000 5.211 5.211 5.211 0.000" Properties=species:S:1:pos:R:3 pbc="T T T"
Sr 2.605 2.605 2.605
Sr 7.816 7.816 7.816
Cd 0.000 0.000 0.000
Ag 5.211 5.211 5.211
Au 5.211 5.211 2.621
Au 5.211 2.621 5.211
Au 7.801 5.211 5.211
Au 2.621 5.211 5.211
Au 5.211 7.801 5.211
Au 5.211 5.211 7.801
```

Properties
energy: -0.2073 Ry/atom
space-group type: No. 225
spin magnetization: 0.00 μB/cell


Look up the spin magnetization of the third one.
0.00 μB/cell